# 1
# AcDySnPt GGA-PBE relaxed
data_AcDySnPt
_chemical_formula_sum 'Ac1 Dy1 Sn1 Pt1'
_symmetry_space_group_name_H-M 'P 1'
_symmetry_Int_Tables_number 1
_cell_length_a 5.387
_cell_length_b 5.387
_cell_length_c 5.387
_cell_angle_alpha 60.00
_cell_angle_beta 60.00
_cell_angle_gamma 60.00
loop_
_symmetry_equiv_pos_as_xyz
'x,y,z'
loop_
_atom_site_label
_atom_site_fract_x
_atom_site_fract_y
_atom_site_fract_z
_atom_site_occupancy
Sn1 0.250 0.250 0.250 1
Ac1 0.500 0.500 0.500 1
Pt1 0.750 0.750 0.750 1
Dy1 0.000 0.000 0.000 1
# Formation enthalpy at 0 K in meV per atom: -735.4
# Magnetic moment in Bohr magnetons per cell: 0.00
# Energy in eV/atom: -5.42
# Fermi-level density of states in states/eV/f.u.: 1.5

# 2
# Ac2DySnPt6 GGA-PBE relaxed
data_Ac2DySnPt6
_chemical_formula_sum 'Ac2 Dy1 Sn1 Pt6'
_symmetry_space_group_name_H-M 'P 1'
_symmetry_Int_Tables_number 1
_cell_length_a 7.200
_cell_length_b 7.200
_cell_length_c 7.200
_cell_angle_alpha 60.00
_cell_angle_beta 60.00
_cell_angle_gamma 90.00
loop_
_symmetry_equiv_pos_as_xyz
'x,y,z'
loop_
_atom_site_label
_atom_site_fract_x
_atom_site_fract_y
_atom_site_fract_z
_atom_site_occupancy
Pt1 0.753 0.753 0.493 1
Pt2 0.753 0.247 0.000 1
Pt3 0.247 0.247 0.000 1
Pt4 0.753 0.753 0.000 1
Pt5 0.247 0.753 0.000 1
Pt6 0.247 0.247 0.507 1
Ac1 0.250 0.750 0.500 1
Ac2 0.750 0.250 0.500 1
Sn1 0.000 0.000 0.000 1
Dy1 0.500 0.500 0.000 1
# Formation enthalpy at 0 K in meV per atom: -304.0
# Magnetic moment in Bohr magnetons per cell: 0.00
# Energy in eV/atom: -5.61
# Fermi-level density of states in states/eV/f.u.: 5.3